Compound: Al3GaBr
Source: Alexandria via LeMat-Bulk
Functional: PBE-GGA
Structure: relaxed

## Properties
Energy relative to the lowest polymorph listed for this composition in meV per atom: 0
Total energy in eV per atom: -2.81
Raw formation energy in meV/atom: 378.2
Mass density in g/cm³: 3.0

CIF file:
```
data_Al3GaBr
_chemical_formula_sum 'Al3 Ga1 Br1'
_cell_length_a 5.0597
_cell_length_b 5.0597
_cell_length_c 5.0597
_cell_angle_alpha 90.00
_cell_angle_beta 90.00
_cell_angle_gamma 90.00
_symmetry_space_group_name_H-M 'P m -3 m'
_symmetry_Int_Tables_number 221
_symmetry_space_group_name_Hall '-P 4 2 3'
loop_
_atom_site_label
_atom_site_fract_x
_atom_site_fract_y
_atom_site_fract_z
Al1 0.0000 0.0000 0.5000
Ga1 0.0000 0.0000 0.0000
Br1 0.5000 0.5000 0.5000
```

Compound: AlGaBr4
Source: Alexandria via LeMat-Bulk
Functional: PBE-GGA
Structure: relaxed

## Properties
Energy relative to the lowest polymorph listed for this composition in meV per atom: 0
Total energy in eV per atom: -3.19
Raw formation energy in meV/atom: -947.0
Mass density in g/cm³: 2.8

CIF file:
```
data_AlGaBr4
_chemical_formula_sum 'Al4 Ga4 Br16'
_cell_length_a 9.4969
_cell_length_b 9.9481
_cell_length_c 13.3199
_cell_angle_alpha 90.00
_cell_angle_beta 128.95
_cell_angle_gamma 90.00
_symmetry_space_group_name_H-M 'P 1 21/c 1'
_symmetry_Int_Tables_number 14
loop_
_symmetry_equiv_pos_as_xyz
'x,y,z'
'-x,-y,-z'
'-x,y+1/2,-z+1/2'
'x,-y+1/2,z+1/2'
loop_
_atom_site_label
_atom_site_fract_x
_atom_site_fract_y
_atom_site_fract_z
Al1 0.1867 0.1585 0.2980
Ga1 0.2793 0.6683 0.3022
Br1 0.0911 0.6983 0.4067
Br2 0.1108 0.1209 0.4315
Br3 0.3335 0.5209 0.7883
Br4 0.3747 0.1534 0.8698
```

Compound: AlGa2Br
Source: Alexandria via LeMat-Bulk
Functional: PBE-GGA
Structure: relaxed

## Properties
Energy relative to the lowest polymorph listed for this composition in meV per atom: 0
Total energy in eV per atom: -2.85
Raw formation energy in meV/atom: 20.9
Mass density in g/cm³: 3.4

CIF file:
```
data_AlGa2Br
_chemical_formula_sum 'Al4 Ga8 Br4'
_cell_length_a 6.0817
_cell_length_b 6.0817
_cell_length_c 12.9256
_cell_angle_alpha 90.00
_cell_angle_beta 90.00
_cell_angle_gamma 90.00
_symmetry_space_group_name_H-M 'I -4 2 d'
_symmetry_Int_Tables_number 122
_symmetry_space_group_name_Hall 'I -4 2bw'
loop_
_atom_site_label
_atom_site_fract_x
_atom_site_fract_y
_atom_site_fract_z
Al1 0.0000 0.0000 0.0000
Ga1 0.1959 0.2500 0.1250
Br1 0.0000 0.0000 0.5000
```

Compound: Al2GaBr6
Source: Alexandria via LeMat-Bulk
Functional: PBE-GGA
Structure: relaxed

## Properties
Total energy in eV per atom: -3.08
Raw formation energy in meV/atom: -792.9
Mass density in g/cm³: 2.7

CIF file:
```
data_Al2GaBr6
_chemical_formula_sum 'Al8 Ga4 Br24'
_cell_length_a 14.4353
_cell_length_b 13.2579
_cell_length_c 8.2906
_cell_angle_alpha 90.00
_cell_angle_beta 111.02
_cell_angle_gamma 90.00
_symmetry_space_group_name_H-M 'C 1 2/c 1'
_symmetry_Int_Tables_number 15
loop_
_symmetry_equiv_pos_as_xyz
'x,y,z'
'-x,-y,-z'
'-x,y,-z+1/2'
'x,-y,z+1/2'
'x+1/2,y+1/2,z'
'-x+1/2,-y+1/2,-z'
'-x+1/2,y+1/2,-z+1/2'
'x+1/2,-y+1/2,z+1/2'
loop_
_atom_site_label
_atom_site_fract_x
_atom_site_fract_y
_atom_site_fract_z
Al1 0.2080 0.0851 0.2367
Ga1 0.0000 0.3831 0.2500
Br1 0.1169 0.4264 0.6558
Br2 0.1456 0.0039 0.4510
Br3 0.1677 0.2576 0.1983
```

Question: Which value of total energy does entry 2 give?
Answer: -3.19 eV per atom